No. 1
The following is a PBE calculation of a relaxed structure of Al2In2GeRh5, from Alexandria via LeMat-Bulk.

Summary:
Calculated formation energy: -0.525 eV/atom
Size of the total moment: 0.000 μB per cell
Space group: P4/mbm (127)
DOS at the Fermi energy: 0.5062 states/eV/atom

```
Al2In2GeRh5
1.0
10.354 0.000 0.000
0.000 10.354 0.000
0.000 0.000 3.000
Al In Ge Rh
4 4 2 10
Direct
0.138 0.362 0.000
0.362 0.862 0.000
0.638 0.138 0.000
0.862 0.638 0.000
0.159 0.659 0.000
0.341 0.159 0.000
0.659 0.841 0.000
0.841 0.341 0.000
0.000 0.000 0.000
0.500 0.500 0.000
0.000 0.500 0.500
0.114 0.168 0.500
0.168 0.886 0.500
0.332 0.386 0.500
0.386 0.668 0.500
0.500 0.000 0.500
0.614 0.332 0.500
0.668 0.614 0.500
0.832 0.114 0.500
0.886 0.832 0.500
```

=====

No. 2
The following is a PBE calculation of a relaxed structure of AlInGeS2, from Alexandria via LeMat-Bulk.

Summary:
Size of the total moment: 0.000 μB per cell
Space group: P4/mmm (123)
E_tot: -3.50 eV per atom
DOS at the Fermi energy: 0.3305 states/eV/atom

```
AlInGeS2
1.0
4.886 0.000 0.000
0.000 4.886 0.000
0.000 0.000 5.217
Al In Ge S
1 1 1 2
Direct
0.000 0.000 0.000
0.500 0.500 0.000
0.500 0.500 0.500
0.000 0.500 0.500
0.500 0.000 0.500
```

=====

No. 3
The following is a PBE calculation of a relaxed structure of AlInGe2Sb, from Alexandria via LeMat-Bulk.

Summary:
Size of the total moment: 0.000 μB per cell
Space group: P4/mmm (123)
E_tot: -3.01 eV per atom
DOS at the Fermi energy: 1.1078 states/eV/atom

```
AlInGe2Sb
1.0
5.235 0.000 0.000
0.000 5.235 0.000
0.000 0.000 5.696
Al In Ge Sb
1 1 2 1
Direct
0.000 0.000 0.000
0.500 0.500 0.500
0.000 0.500 0.500
0.500 0.000 0.500
0.500 0.500 0.000
```

=====

No. 4
The following is a PBE calculation of a relaxed structure of ScAlInGe2, from Alexandria via LeMat-Bulk.

Summary:
Calculated formation energy: 0.810 eV/atom
Size of the total moment: 0.000 μB per cell
Space group: P4/mmm (123)
DOS at the Fermi energy: 0.6902 states/eV/atom

```
ScAlInGe2
1.0
5.117 0.000 0.000
0.000 5.117 0.000
0.000 0.000 5.488
Sc Al In Ge
1 1 1 2
Direct
0.000 0.000 0.000
0.500 0.500 0.000
0.000 0.000 0.500
0.000 0.500 0.500
0.500 0.000 0.500
```

=====

No. 5
The following is a PBE calculation of a relaxed structure of AlInSi2Ge, from Alexandria via LeMat-Bulk.

Summary:
Size of the total moment: 0.000 μB per cell
Space group: P4/mmm (123)
E_tot: -3.69 eV per atom
DOS at the Fermi energy: 0.6087 states/eV/atom

```
AlInSi2Ge
1.0
4.821 0.000 0.000
0.000 4.821 0.000
0.000 0.000 4.920
Al In Si Ge
1 1 2 1
Direct
0.000 0.000 0.000
0.500 0.500 0.500
0.000 0.500 0.000
0.500 0.000 0.000
0.000 0.000 0.500
```

=====

No. 6
The following is a PBE calculation of a relaxed structure of AlTlInGe2, from Alexandria via LeMat-Bulk.

Summary:
Calculated formation energy: 0.395 eV/atom
Size of the total moment: 0.000 μB per cell
Space group: P4/mmm (123)
DOS at the Fermi energy: 0.5146 states/eV/atom

```
AlTlInGe2
1.0
4.975 0.000 0.000
0.000 4.975 0.000
0.000 0.000 5.415
Al Tl In Ge
1 1 1 2
Direct
0.000 0.000 0.000
0.500 0.500 0.500
0.000 0.000 0.500
0.000 0.500 0.000
0.500 0.000 0.000
```

=====

No. 7
The following is a PBE calculation of a relaxed structure of YAlIn2Ge, from Alexandria via LeMat-Bulk.

Summary:
Calculated formation energy: 0.222 eV/atom
Size of the total moment: 0.000 μB per cell
Space group: P4/mmm (123)
DOS at the Fermi energy: 0.6420 states/eV/atom

```
YAlIn2Ge
1.0
5.276 0.000 0.000
0.000 5.276 0.000
0.000 0.000 4.968
Y Al In Ge
1 1 2 1
Direct
0.000 0.000 0.000
0.500 0.500 0.500
0.000 0.500 0.500
0.500 0.000 0.500
0.500 0.500 0.000
```

=====

No. 8
The following is a PBE calculation of a relaxed structure of ZrAl2InGe, from Alexandria via LeMat-Bulk.

Summary:
Calculated formation energy: 0.939 eV/atom
Size of the total moment: 0.000 μB per cell
Space group: P4/mmm (123)
DOS at the Fermi energy: 0.6749 states/eV/atom

```
ZrAl2InGe
1.0
5.234 0.000 0.000
0.000 5.234 0.000
0.000 0.000 5.502
Zr Al In Ge
1 2 1 1
Direct
0.000 0.000 0.000
0.000 0.500 0.000
0.500 0.000 0.000
0.000 0.000 0.500
0.500 0.500 0.500
```